Entry 1:
VASP calculation (PBE-GGA) on a geometry-optimized DyPuH8Rh2 structure.

Output
Crystal system: trigonal
Total energy: -5.263 eV/atom

Cell and atoms, written as extended XYZ:
```
12
Lattice="2.274 1.313 6.259 -2.274 1.313 6.259 0.000 -2.626 6.259" Properties=species:S:1:pos:R:3 pbc="T T T"
Dy 0.000 0.000 0.000
Pu 0.000 0.000 9.389
H -1.021 -0.590 7.291
H 0.000 0.000 2.585
H 0.000 -1.179 11.486
H -1.021 0.590 11.486
H 1.021 -0.590 7.291
H 0.000 1.179 7.291
H 0.000 0.000 16.192
H 1.021 0.590 11.486
Rh 0.000 0.000 4.349
Rh 0.000 0.000 14.428
```

Entry 2:
VASP calculation (PBE-GGA) on a geometry-optimized FeNiAs4 structure.

Output
ΔE to the lowest computed polymorph: 138 meV per atom
Crystal system: monoclinic

Cell and atoms, written as extended XYZ:
```
12
Lattice="5.828 0.000 0.000 0.000 5.821 0.000 -0.006 0.000 5.816" Properties=species:S:1:pos:R:3 pbc="T T T"
Fe 0.000 0.000 0.000
Fe -0.003 2.911 2.908
Ni 2.911 0.000 2.908
Ni 2.914 2.911 0.000
As 0.703 0.731 3.640
As 0.706 2.180 0.732
As 2.177 3.623 3.618
As 2.180 5.109 0.710
As 3.642 0.712 5.106
As 3.645 2.198 2.198
As 5.116 3.641 5.083
As 5.119 5.090 2.175
```

Entry 3:
VASP calculation (PBE-GGA) on a geometry-optimized Ba3Y3ScSe8 structure.

Output
Crystal system: trigonal
Raw formation energy: -1.8946 eV/atom

Cell and atoms, written as extended XYZ:
```
15
Lattice="4.188 2.418 7.533 -4.188 2.418 7.533 0.000 -4.836 7.533" Properties=species:S:1:pos:R:3 pbc="T T T"
Ba -2.094 -1.209 7.533
Ba -2.094 1.209 15.066
Ba 0.000 2.418 7.533
Y -4.188 0.000 11.299
Y -2.094 1.209 3.766
Y 2.094 1.209 3.766
Sc 0.000 0.000 11.299
Se 0.000 0.000 5.378
Se -2.036 -1.175 12.845
Se 0.000 -2.351 9.753
Se -2.036 1.175 9.753
Se 2.036 -1.175 12.845
Se 0.000 2.351 12.845
Se 2.036 1.175 9.753
Se 0.000 0.000 17.221
```

Entry 4:
VASP calculation (PBE-GGA) on a geometry-optimized Sm8Ge3Te4Se structure.

Output
Crystal system: trigonal
Raw formation energy: -1.3536 eV/atom

Cell and atoms, written as extended XYZ:
```
16
Lattice="4.319 2.494 7.208 -4.319 2.494 7.208 0.000 -4.987 7.208" Properties=species:S:1:pos:R:3 pbc="T T T"
Sm -2.205 -1.273 12.422
Sm 0.000 0.000 5.221
Sm 0.000 -2.546 9.203
Sm -2.205 1.273 9.203
Sm 2.205 -1.273 12.422
Sm 0.000 2.546 12.422
Sm 0.000 0.000 16.403
Sm 2.205 1.273 9.203
Ge -4.319 0.000 10.812
Ge -2.160 1.247 3.604
Ge 2.160 1.247 3.604
Te 0.000 0.000 0.000
Te -2.160 -1.247 7.208
Te -2.160 1.247 14.416
Te 0.000 2.494 7.208
Se 0.000 0.000 10.812
```

Entry 5:
VASP calculation (PBE-GGA) on a geometry-optimized SmY6Ho2 structure.

Output
ΔE to the lowest computed polymorph: 37 meV per atom
Crystal system: monoclinic

Cell and atoms, written as extended XYZ:
```
9
Lattice="8.555 -1.760 0.000 8.555 1.760 0.000 -6.781 0.000 9.761" Properties=species:S:1:pos:R:3 pbc="T T T"
Sm 0.000 0.000 0.000
Y -4.250 0.000 7.312
Y 3.184 0.000 1.098
Y 3.605 0.000 4.342
Y 6.724 0.000 5.418
Y 7.145 0.000 8.663
Y 14.579 0.000 2.449
Ho 1.032 0.000 6.594
Ho 9.297 0.000 3.167
```

Entry 6:
VASP calculation (PBE-GGA) on a geometry-optimized TmCuPd structure.

Output
ΔE to the lowest computed polymorph: 60 meV per atom
Crystal system: hexagonal

Cell and atoms, written as extended XYZ:
```
3
Lattice="4.337 0.000 0.000 -2.168 3.756 0.000 0.000 0.000 3.473" Properties=species:S:1:pos:R:3 pbc="T T T"
Tm 0.000 0.000 0.000
Cu 2.168 1.252 1.736
Pd 0.000 2.504 1.736
```